Entry from the Alexandria database: a relaxed structure of SrBi2IrSe (PBE).

- total moment (μB/f.u.) = 0.0
- E (eV/atom) = -2.861
- ΔE_f (raw) (kJ/mol of atoms) = 144.41
- symmetry = No. 123

Lattice parameters (Å, degrees): 6.0958 4.9749 6.0958 90.00 90.00 90.00
Last column: nearest neighbours and their distance in Å.
Sites, in units of the cell vectors:
Ir 0.0000 0.5000 0.0000  2 Sr 2.49
Sr 0.0000 0.0000 0.0000  2 Ir 2.49
Bi 0.0000 0.0000 0.5000  2 Sr 3.05
Bi 0.5000 0.0000 0.0000  2 Sr 3.05
Se 0.5000 0.5000 0.5000  8 Bi 3.93, 4 Ir 4.31